# BaSrTl | Alexandria | GGA-PBEsol | relaxed
# ΔE_f = -0.239 eV/atom
# magnetization = 0.0 μB per cell
data_BaSrTl
_chemical_formula_sum 'Ba4 Sr4 Tl4'
_cell_length_a 8.115
_cell_length_b 8.115
_cell_length_c 8.115
_cell_angle_alpha 90.00
_cell_angle_beta 90.00
_cell_angle_gamma 90.00
_symmetry_space_group_name_H-M 'F -4 3 m'
_symmetry_Int_Tables_number 216
_symmetry_space_group_name_Hall 'F -4 2 3'
loop_
_atom_site_label
_atom_site_type_symbol
_atom_site_fract_x
_atom_site_fract_y
_atom_site_fract_z
_atom_site_occupancy
Ba1 Ba 0.000 0.000 0.000 1
Sr1 Sr 0.000 0.000 0.500 1
Tl1 Tl 0.250 0.250 0.750 1